i | An optimized crystal structure of Bi2HIr, computed with PBE.

```
4
Lattice="0.000 3.352 3.352 3.352 0.000 3.352 3.352 3.352 0.000" Properties=species:S:1:pos:R:3 pbc="T T T"
Bi 1.676 1.676 1.676
Ir 3.352 3.352 3.352
Bi 5.028 5.028 5.028
H 0.000 0.000 0.000
```

Output
SG ... No. 225

=====

ii | An optimized crystal structure of Bi2HIr, computed with PBE.

```
8
Lattice="6.691 0.000 0.000 0.000 6.691 0.000 3.345 3.345 3.635" Properties=species:S:1:pos:R:3 pbc="T T T"
Ir 6.691 3.345 1.817
H 3.345 6.691 1.817
Bi 8.363 8.055 2.726
Bi 4.710 1.673 0.909
Bi 5.018 5.326 2.726
Ir 0.000 0.000 0.000
Bi 1.981 5.018 0.909
H 3.345 3.345 0.000
```

Output
SG ... No. 122

=====

Most stable of them? i.

=====

i | An optimized crystal structure of BiHIr2, computed with PBE.

```
8
Lattice="5.324 0.000 0.000 0.000 5.324 0.000 2.662 2.662 4.341" Properties=species:S:1:pos:R:3 pbc="T T T"
H 2.662 2.662 0.000
Ir 6.655 5.780 3.256
Bi 0.000 0.000 0.000
H 2.662 5.324 2.171
Ir 3.118 1.331 1.085
Ir 3.993 4.868 3.256
Bi 5.324 2.662 2.171
Ir 2.206 3.993 1.085
```

Output
SG ... No. 122

=====

ii | An optimized crystal structure of BiHIr2, computed with PBE.

```
4
Lattice="-0.043 -1.533 4.156 -2.268 2.159 3.133 -3.702 -1.768 1.670" Properties=species:S:1:pos:R:3 pbc="T T T"
Ir -1.503 -0.285 2.240
H 0.000 0.000 0.000
Ir -4.510 -0.856 6.719
Bi -3.007 -0.571 4.479
```

Output
SG ... No. 225

=====

Most stable of them? i.

=====

i | An optimized crystal structure of Bi2HIr2, computed with PBE.

```
5
Lattice="-0.166 -4.774 -2.764 3.134 -2.357 3.884 -1.125 -4.401 2.159" Properties=species:S:1:pos:R:3 pbc="T T T"
Bi 1.747 -5.162 3.301
Ir 0.379 -3.919 1.237
Ir 1.465 -7.613 2.042
Bi 0.097 -6.371 -0.023
H 0.000 0.000 0.000
```

Output
SG ... No. 139

=====

ii | An optimized crystal structure of Bi2HIr2, computed with PBE.

```
10
Lattice="7.849 0.000 0.000 0.000 7.849 0.000 0.000 0.000 3.288" Properties=species:S:1:pos:R:3 pbc="T T T"
Ir 4.937 1.013 0.000
Ir 1.013 2.912 0.000
H 3.925 3.925 0.000
Bi 2.627 1.297 1.644
Bi 5.222 6.552 1.644
Ir 6.837 4.937 0.000
H 0.000 0.000 0.000
Bi 6.552 2.627 1.644
Ir 2.912 6.837 0.000
Bi 1.297 5.222 1.644
```

Output
SG ... No. 127

=====

Most stable of them? i.

=====

i | An optimized crystal structure of K2BiH2, computed with PBE.

```
10
Lattice="-4.110 -6.488 1.781 6.657 -4.223 -0.023 0.458 0.703 3.618" Properties=species:S:1:pos:R:3 pbc="T T T"
H 4.176 -5.674 0.573
K -0.216 -2.554 2.430
K 3.222 -7.454 2.946
H 1.526 -2.491 0.291
K -0.933 -6.647 3.316
H 1.022 -8.220 1.468
Bi 0.000 0.000 0.000
H -1.628 -5.037 1.185
K 3.939 -3.361 2.060
Bi 1.274 -5.355 0.879
```

Output
SG ... No. 127

=====

ii | An optimized crystal structure of K2BiH2, computed with PBE.

```
5
Lattice="4.631 0.000 0.000 0.000 4.631 0.000 2.315 2.315 5.950" Properties=species:S:1:pos:R:3 pbc="T T T"
H 2.315 2.315 1.644
K 4.631 2.315 2.975
Bi 0.000 0.000 0.000
H 4.631 4.631 4.306
K 2.315 4.631 2.975
```

Output
SG ... No. 139

=====

Most stable of them? i.